Record 1
The following is a PBE calculation of a relaxed structure of AcHoTlGa, from the Alexandria database.

The structure in CIF format:
```
data_AcHoTlGa
_chemical_formula_sum 'Ac4 Ho4 Tl4 Ga4'
_symmetry_space_group_name_H-M 'F -4 3 m'
_symmetry_Int_Tables_number 216
_symmetry_space_group_name_Hall 'F -4 2 3'
_cell_length_a 7.7457
_cell_length_b 7.7457
_cell_length_c 7.7457
_cell_angle_alpha 90.00
_cell_angle_beta 90.00
_cell_angle_gamma 90.00
loop_
_atom_site_label
_atom_site_fract_x
_atom_site_fract_y
_atom_site_fract_z
Ac1 0.0000 0.0000 0.0000
Ho1 0.0000 0.0000 0.5000
Tl1 0.2500 0.2500 0.7500
Ga1 0.2500 0.2500 0.2500
```

Values from the calculation:
energy of formation: -0.358 eV per atom
Fermi-level density of states: 0.5261 states/eV/atom
total magnetic moment: 0.00 μB/cell

Record 2
The following is a PBE calculation of a relaxed structure of MgCdIr2, from the Alexandria database.

The structure in CIF format:
```
data_MgCdIr2
_chemical_formula_sum 'Mg2 Cd2 Ir4'
_symmetry_space_group_name_H-M 'C m m m'
_symmetry_Int_Tables_number 65
_symmetry_space_group_name_Hall '-C 2 2'
_cell_length_a 3.0054
_cell_length_b 4.7768
_cell_length_c 9.0615
_cell_angle_alpha 90.00
_cell_angle_beta 90.00
_cell_angle_gamma 90.00
loop_
_atom_site_label
_atom_site_fract_x
_atom_site_fract_y
_atom_site_fract_z
Mg1 0.0000 0.0000 0.0000
Cd1 0.0000 0.0000 0.5000
Ir1 0.0000 0.5000 0.2383
```

Values from the calculation:
energy of formation: 0.045 eV per atom
Fermi-level density of states: 0.8327 states/eV/atom
total magnetic moment: 0.00 μB/cell

Which formula does entry 2 have? MgCdIr2

Number 2 is which compound? MgCdIr2

What is the formula in the second record? MgCdIr2

Repeat the first record exactly.
The following is a PBE calculation of a relaxed structure of AcHoTlGa, from the Alexandria database.

The structure in CIF format:
```
data_AcHoTlGa
_chemical_formula_sum 'Ac4 Ho4 Tl4 Ga4'
_symmetry_space_group_name_H-M 'F -4 3 m'
_symmetry_Int_Tables_number 216
_symmetry_space_group_name_Hall 'F -4 2 3'
_cell_length_a 7.7457
_cell_length_b 7.7457
_cell_length_c 7.7457
_cell_angle_alpha 90.00
_cell_angle_beta 90.00
_cell_angle_gamma 90.00
loop_
_atom_site_label
_atom_site_fract_x
_atom_site_fract_y
_atom_site_fract_z
Ac1 0.0000 0.0000 0.0000
Ho1 0.0000 0.0000 0.5000
Tl1 0.2500 0.2500 0.7500
Ga1 0.2500 0.2500 0.2500
```

Values from the calculation:
energy of formation: -0.358 eV per atom
Fermi-level density of states: 0.5261 states/eV/atom
total magnetic moment: 0.00 μB/cell